[1]
! PmBi2Te PBE-GGA relaxed; values from VASP
&SYSTEM
  ibrav = 0, nat = 8, ntyp = 3
/
ATOMIC_SPECIES
Bi 208.98 Bi.upf
Te 127.60 Te.upf
Pm 145.00 Pm.upf
CELL_PARAMETERS angstrom
-4.0074 -0.7004 -1.5475
-1.4718 -0.7353 4.1443
-0.5056 13.6219 2.2374
ATOMIC_POSITIONS crystal
Bi 0.4319 0.7500 0.8358
Bi 0.5681 0.2500 0.1642
Bi 0.0079 0.7500 0.1047
Bi 0.9921 0.2500 0.8953
Te 0.7020 0.7500 0.4085
Te 0.2980 0.2500 0.5915
Pm 0.1713 0.2500 0.3513
Pm 0.8287 0.7500 0.6487
! Density of states at the Fermi level = 2.97 states/eV per cell
! Crystal system = monoclinic
! Total magnetization = 0.00 Bohr magnetons per cell
! Space-group type = P2_1/m
! Raw formation energy = -0.708 eV/atom
! Energy relative to the lowest polymorph listed for this composition = 0 meV per atom

***

[2]
! PmTm5Sn6 PBE-GGA relaxed; values from VASP
&SYSTEM
  ibrav = 0, nat = 12, ntyp = 3
/
ATOMIC_SPECIES
Tm 168.93 Tm.upf
Sn 118.71 Sn.upf
Pm 145.00 Pm.upf
CELL_PARAMETERS angstrom
-1.2622 9.0106 0.6715
-2.7101 2.4034 -4.3939
-7.4769 0.1074 0.9803
ATOMIC_POSITIONS crystal
Tm 0.5000 0.5000 0.0000
Tm 0.0000 0.6705 0.6589
Tm 0.5000 0.1617 0.6765
Tm 0.0000 0.3295 0.3411
Tm 0.5000 0.8383 0.3235
Sn 0.2564 0.9082 0.6613
Sn 0.7542 0.7252 0.0000
Sn 0.7436 0.4305 0.6613
Sn 0.2564 0.5695 0.3387
Sn 0.7436 0.0918 0.3387
Sn 0.2458 0.2748 0.0000
Pm 0.0000 0.0000 0.0000
! Density of states at the Fermi level = 6.11 states/eV per cell
! Crystal system = monoclinic
! Total magnetization = 0.00 Bohr magnetons per cell
! ΔE_f = -0.592 eV per atom
! Space-group type = C2/m

***

[3]
! Pr3Sm5Dy2 PBE-GGA relaxed; values from VASP
&SYSTEM
  ibrav = 0, nat = 20, ntyp = 3
/
ATOMIC_SPECIES
Sm 150.36 Sm.upf
Pr 140.91 Pr.upf
Dy 162.50 Dy.upf
CELL_PARAMETERS angstrom
11.1353 0.0000 0.0000
5.5677 8.3770 0.3865
5.5677 2.5956 7.9741
ATOMIC_POSITIONS crystal
Sm 0.8782 0.5236 0.7200
Sm 0.2500 0.5000 0.5000
Sm 0.1218 0.4764 0.2800
Sm 0.6218 0.2800 0.4764
Sm 0.9985 0.2515 0.2515
Sm 0.3782 0.7200 0.5236
Sm 0.5015 0.7485 0.7485
Sm 0.4985 0.2515 0.2515
Sm 0.7500 0.5000 0.5000
Sm 0.0015 0.7485 0.7485
Pr 0.7500 0.0000 0.0000
Pr 0.6262 0.6235 0.1242
Pr 0.3738 0.3765 0.8758
Pr 0.2500 0.0000 0.0000
Pr 0.8738 0.8758 0.3765
Pr 0.1262 0.1242 0.6235
Dy 0.3720 0.0389 0.2170
Dy 0.6280 0.9611 0.7830
Dy 0.1280 0.7830 0.9611
Dy 0.8720 0.2170 0.0389
! Density of states at the Fermi level = 29.96 states/eV per cell
! Crystal system = orthorhombic
! Total magnetization = 0.00 Bohr magnetons per cell
! ΔE_f = 0.363 eV per atom
! Space-group type = Ibam
! Energy relative to the lowest polymorph listed for this composition = 180 meV per atom

***

[4]
! TlPIr2 PBE-GGA relaxed; values from VASP
&SYSTEM
  ibrav = 0, nat = 4, ntyp = 3
/
ATOMIC_SPECIES
Tl 204.38 Tl.upf
Ir 192.22 Ir.upf
P 30.97 P.upf
CELL_PARAMETERS angstrom
-5.3049 0.3454 -0.7754
-2.2907 -2.4433 -4.2007
3.4388 -1.1516 3.9637
ATOMIC_POSITIONS crystal
Tl 0.7500 0.2500 0.5000
Ir 0.2500 0.7500 0.5000
Ir 0.0000 0.0000 0.0000
P 0.5000 0.5000 0.0000
! Density of states at the Fermi level = 2.77 states/eV per cell
! Crystal system = tetragonal
! Total magnetization = 0.00 Bohr magnetons per cell
! ΔE_f = 0.667 eV per atom
! Space-group type = I-4m2
! Energy relative to the lowest polymorph listed for this composition = 613 meV per atom

***

[5]
! CaCd2SnAu PBE-GGA relaxed; values from VASP
&SYSTEM
  ibrav = 0, nat = 5, ntyp = 4
/
ATOMIC_SPECIES
Ca 40.08 Ca.upf
Cd 112.41 Cd.upf
Au 196.97 Au.upf
Sn 118.71 Sn.upf
CELL_PARAMETERS angstrom
-5.6585 -0.4467 1.0576
1.0319 -2.7292 4.3682
0.1780 4.9131 3.0277
ATOMIC_POSITIONS crystal
Ca 0.0000 0.0000 0.0000
Cd 0.0000 0.0000 0.5000
Cd 0.5000 0.0000 0.0000
Au 0.0000 0.5000 0.0000
Sn 0.5000 0.5000 0.5000
! Density of states at the Fermi level = 3.94 states/eV per cell
! Crystal system = tetragonal
! Total magnetization = 0.00 Bohr magnetons per cell
! ΔE_f = 0.546 eV per atom
! Space-group type = P4/mmm

***

[6]
! YAgCCl2 PBE-GGA relaxed; values from VASP
&SYSTEM
  ibrav = 0, nat = 5, ntyp = 4
/
ATOMIC_SPECIES
Cl 35.45 Cl.upf
Ag 107.87 Ag.upf
Y 88.91 Y.upf
C 12.01 C.upf
CELL_PARAMETERS angstrom
4.6446 0.0000 0.0000
0.0000 4.6446 0.0000
0.0000 0.0000 6.3158
ATOMIC_POSITIONS crystal
Cl 0.5000 0.0000 0.0000
Cl 0.0000 0.5000 0.0000
Ag 0.0000 0.0000 0.0000
Y 0.0000 0.0000 0.5000
C 0.5000 0.5000 0.5000
! Density of states at the Fermi level = 3.71 states/eV per cell
! Crystal system = tetragonal
! Total magnetization = 1.85 Bohr magnetons per cell
! Space-group type = P4/mmm
! Raw formation energy = 1.015 eV/atom

***

[7]
! KAgBi PBE-GGA relaxed; values from VASP
&SYSTEM
  ibrav = 0, nat = 3, ntyp = 3
/
ATOMIC_SPECIES
K 39.10 K.upf
Ag 107.87 Ag.upf
Bi 208.98 Bi.upf
CELL_PARAMETERS angstrom
4.0862 0.0000 0.0000
0.0000 4.0862 0.0000
-2.0431 -2.0431 6.1403
ATOMIC_POSITIONS crystal
K 0.0038 0.0038 0.0076
Ag 0.2787 0.2787 0.5574
Bi 0.7175 0.7175 0.4350
! Density of states at the Fermi level = 1.23 states/eV per cell
! Crystal system = tetragonal
! Total magnetization = 0.00 Bohr magnetons per cell
! ΔE_f = -0.090 eV per atom
! Space-group type = I4mm
! Energy relative to the lowest polymorph listed for this composition = 74 meV per atom

***

[8]
! SrTe2 PBE-GGA relaxed; values from VASP
&SYSTEM
  ibrav = 0, nat = 12, ntyp = 2
/
ATOMIC_SPECIES
Te 127.60 Te.upf
Sr 87.62 Sr.upf
CELL_PARAMETERS angstrom
-1.7276 6.8775 -3.5733
-6.5996 -3.2250 -3.0164
-4.0638 2.3135 6.4177
ATOMIC_POSITIONS crystal
Te 0.3985 0.1015 0.1015
Te 0.8985 0.1015 0.3985
Te 0.8985 0.3985 0.8985
Te 0.1015 0.8985 0.6015
Te 0.6015 0.8985 0.8985
Te 0.1015 0.6015 0.1015
Te 0.6015 0.6015 0.3985
Te 0.3985 0.3985 0.6015
Sr 0.5000 0.5000 0.0000
Sr 0.0000 0.5000 0.5000
Sr 0.5000 0.0000 0.5000
Sr 0.0000 0.0000 0.0000
! Density of states at the Fermi level = 0.00 states/eV per cell
! Crystal system = cubic
! Total magnetization = 0.00 Bohr magnetons per cell
! Space-group type = Pa-3
! Raw formation energy = -1.054 eV/atom

***

[9]
! RbCo2Au PBE-GGA relaxed; values from VASP
&SYSTEM
  ibrav = 0, nat = 4, ntyp = 3
/
ATOMIC_SPECIES
Rb 85.47 Rb.upf
Co 58.93 Co.upf
Au 196.97 Au.upf
CELL_PARAMETERS angstrom
0.0000 3.3473 3.3473
3.3473 0.0000 3.3473
3.3473 3.3473 0.0000
ATOMIC_POSITIONS crystal
Rb 0.0000 0.0000 0.0000
Co 0.2500 0.2500 0.2500
Co 0.7500 0.7500 0.7500
Au 0.5000 0.5000 0.5000
! Density of states at the Fermi level = 9.94 states/eV per cell
! Crystal system = cubic
! Total magnetization = 3.39 Bohr magnetons per cell
! ΔE_f = 1.227 eV per atom
! Space-group type = Fm-3m
! Energy relative to the lowest polymorph listed for this composition = 492 meV per atom

***

[10]
! Mg3Cu5Br12 PBE-GGA relaxed; values from VASP
&SYSTEM
  ibrav = 0, nat = 80, ntyp = 3
/
ATOMIC_SPECIES
Br 79.90 Br.upf
Cu 63.55 Cu.upf
Mg 24.30 Mg.upf
CELL_PARAMETERS angstrom
13.7535 0.0000 0.0000
-4.5845 12.9669 0.0000
-4.5845 -6.4834 11.2297
ATOMIC_POSITIONS crystal
Br 0.1772 0.0822 0.7122
Br 0.9051 0.0822 0.8700
Br 0.6772 0.2122 0.5822
Br 0.3228 0.7878 0.4178
Br 0.4178 0.1300 0.5949
Br 0.0350 0.6300 0.7122
Br 0.2878 0.4178 0.8228
Br 0.7122 0.1300 0.0350
Br 0.5822 0.7122 0.6772
Br 0.8700 0.2878 0.4650
Br 0.4051 0.3700 0.5822
Br 0.2878 0.8700 0.9650
Br 0.4051 0.0350 0.3228
Br 0.0949 0.1772 0.4650
Br 0.1772 0.0949 0.9650
Br 0.5350 0.2122 0.1300
Br 0.6772 0.4650 0.5949
Br 0.6300 0.0350 0.2122
Br 0.5949 0.9650 0.6772
Br 0.1300 0.4178 0.0949
Br 0.0822 0.9051 0.3700
Br 0.9650 0.3700 0.2878
Br 0.7878 0.3228 0.9178
Br 0.3700 0.9650 0.7878
Br 0.4650 0.7878 0.8700
Br 0.9178 0.8228 0.7878
Br 0.6300 0.5949 0.9178
Br 0.2122 0.5350 0.6300
Br 0.0822 0.1772 0.2122
Br 0.4650 0.6772 0.0949
Br 0.8228 0.9178 0.2878
Br 0.8228 0.9051 0.0350
Br 0.9178 0.0949 0.6300
Br 0.2122 0.6772 0.0822
Br 0.5822 0.8700 0.4051
Br 0.3700 0.4051 0.0822
Br 0.8700 0.5822 0.9051
Br 0.1300 0.7122 0.5350
Br 0.3228 0.5350 0.4051
Br 0.9051 0.8228 0.5350
Br 0.5949 0.6300 0.4178
Br 0.7122 0.5822 0.1772
Br 0.7878 0.4650 0.3700
Br 0.9650 0.5949 0.1772
Br 0.4178 0.2878 0.3228
Br 0.0949 0.9178 0.1300
Br 0.5350 0.3228 0.9051
Br 0.0350 0.4051 0.8228
Cu 0.8750 0.6250 0.7500
Cu 0.1250 0.7500 0.3750
Cu 0.6250 0.8750 0.2500
Cu 0.2500 0.3750 0.6250
Cu 0.0000 0.5000 0.5000
Cu 0.7500 0.6250 0.3750
Cu 0.1250 0.3750 0.2500
Cu 0.0000 0.0000 0.5000
Cu 0.0000 0.0000 0.0000
Cu 0.2500 0.8750 0.1250
Cu 0.5000 0.0000 0.0000
Cu 0.7500 0.1250 0.8750
Cu 0.5000 0.5000 0.0000
Cu 0.8750 0.2500 0.6250
Cu 0.6250 0.7500 0.8750
Cu 0.5000 0.5000 0.5000
Cu 0.5000 0.0000 0.5000
Cu 0.3750 0.1250 0.7500
Cu 0.0000 0.5000 0.0000
Cu 0.3750 0.2500 0.1250
Mg 0.7500 0.3750 0.1250
Mg 0.8750 0.1250 0.2500
Mg 0.8750 0.7500 0.1250
Mg 0.3750 0.7500 0.6250
Mg 0.6250 0.2500 0.3750
Mg 0.6250 0.3750 0.7500
Mg 0.1250 0.8750 0.7500
Mg 0.2500 0.6250 0.8750
Mg 0.7500 0.8750 0.6250
Mg 0.1250 0.2500 0.8750
Mg 0.2500 0.1250 0.3750
Mg 0.3750 0.6250 0.2500
! Density of states at the Fermi level = 56.16 states/eV per cell
! Crystal system = cubic
! Total magnetization = 0.01 Bohr magnetons per cell
! Space-group type = Ia-3d
! Raw formation energy = -0.627 eV/atom